[1]
# PBE CsK2IrF6, relaxed
# - formation energy without anion corrections (eV/atom) = -2.253
# - relative energy among the computed polymorphs (meV/atom) = 0
# - D(E_F) (states/eV per cell) = 0.00
data_CsK2IrF6
_chemical_formula_sum 'Cs2 K4 Ir2 F12'
_cell_length_a 6.016
_cell_length_b 9.288
_cell_length_c 7.839
_cell_angle_alpha 90.00
_cell_angle_beta 90.00
_cell_angle_gamma 90.00
_symmetry_space_group_name_H-M 'P m m n'
_symmetry_Int_Tables_number 59
loop_
_symmetry_equiv_pos_as_xyz
'x,y,z'
'-x,-y,-z'
'-x+1/2,-y+1/2,z'
'x+1/2,y+1/2,-z'
'x+1/2,-y,-z'
'-x+1/2,y,z'
'-x,y+1/2,-z'
'x,-y+1/2,z'
loop_
_atom_site_label
_atom_site_fract_x
_atom_site_fract_y
_atom_site_fract_z
Cs1 0.250 0.250 0.160
K1 0.250 0.053 0.651
Ir1 0.250 0.750 0.331
F1 0.005 0.750 0.152
F2 0.014 0.750 0.519
F3 0.250 0.530 0.329


[2]
# PBE BaCaHfCu2, relaxed
# - D(E_F) (states/eV per cell) = 4.29
# - formation energy (eV/atom) = 0.668
data_BaCaHfCu2
_chemical_formula_sum 'Ba1 Ca1 Hf1 Cu2'
_cell_length_a 5.160
_cell_length_b 5.160
_cell_length_c 5.646
_cell_angle_alpha 90.00
_cell_angle_beta 90.00
_cell_angle_gamma 90.00
_symmetry_space_group_name_H-M 'P 4/m m m'
_symmetry_Int_Tables_number 123
_symmetry_space_group_name_Hall '-P 4 2'
loop_
_atom_site_label
_atom_site_fract_x
_atom_site_fract_y
_atom_site_fract_z
Ba1 0.000 0.000 0.000
Ca1 0.500 0.500 0.000
Hf1 0.500 0.500 0.500
Cu1 0.000 0.500 0.500


[3]
# PBE ScTc2Sb2, relaxed
# - formation energy without anion corrections (eV/atom) = -0.053
# - relative energy among the computed polymorphs (meV/atom) = 0
# - D(E_F) (states/eV per cell) = 9.12
data_ScTc2Sb2
_chemical_formula_sum 'Sc2 Tc4 Sb4'
_cell_length_a 7.591
_cell_length_b 7.591
_cell_length_c 3.286
_cell_angle_alpha 90.00
_cell_angle_beta 90.00
_cell_angle_gamma 90.00
_symmetry_space_group_name_H-M 'P 4/m b m'
_symmetry_Int_Tables_number 127
_symmetry_space_group_name_Hall '-P 4 2ab'
loop_
_atom_site_label
_atom_site_fract_x
_atom_site_fract_y
_atom_site_fract_z
Sc1 0.000 0.000 0.000
Tc1 0.135 0.365 0.000
Sb1 0.162 0.662 0.500


[4]
# PBE La2CuSn3, relaxed
# - relative energy among the computed polymorphs (meV/atom) = 0
# - D(E_F) (states/eV per cell) = 8.60
# - formation energy (eV/atom) = -0.590
data_La2CuSn3
_chemical_formula_sum 'La4 Cu2 Sn6'
_cell_length_a 11.718
_cell_length_b 4.675
_cell_length_c 7.656
_cell_angle_alpha 90.00
_cell_angle_beta 130.29
_cell_angle_gamma 90.00
_symmetry_space_group_name_H-M 'C 1 m 1'
_symmetry_Int_Tables_number 8
_symmetry_space_group_name_Hall 'C -2y'
loop_
_atom_site_label
_atom_site_fract_x
_atom_site_fract_y
_atom_site_fract_z
La1 0.000 0.000 0.000
La2 0.115 0.000 0.632
Cu1 0.384 0.000 0.225
Sn1 0.175 0.500 0.405
Sn2 0.244 0.500 0.061
Sn3 0.393 0.000 0.598


[5]
# PBE Sc3Zn2Cu4, relaxed
# - relative energy among the computed polymorphs (meV/atom) = 30
# - D(E_F) (states/eV per cell) = 13.78
# - formation energy (eV/atom) = -0.235
data_Sc3Zn2Cu4
_chemical_formula_sum 'Sc6 Zn4 Cu8'
_cell_length_a 8.760
_cell_length_b 4.244
_cell_length_c 8.057
_cell_angle_alpha 90.00
_cell_angle_beta 97.04
_cell_angle_gamma 90.00
_symmetry_space_group_name_H-M 'C 1 2/m 1'
_symmetry_Int_Tables_number 12
_symmetry_space_group_name_Hall '-C 2y'
loop_
_atom_site_label
_atom_site_fract_x
_atom_site_fract_y
_atom_site_fract_z
Sc1 0.000 0.000 0.000
Sc2 0.131 0.500 0.388
Zn1 0.194 0.500 0.764
Cu1 0.066 0.000 0.644
Cu2 0.211 0.500 0.078


[6]
# PBE Tb8Sm4Zr, relaxed
# - D(E_F) (states/eV per cell) = 71.23
# - formation energy (eV/atom) = 0.539
data_Tb8Sm4Zr
_chemical_formula_sum 'Tb24 Sm12 Zr3'
_cell_length_a 10.9342
_cell_length_b 10.9342
_cell_length_c 13.3107
_cell_angle_alpha 90.00
_cell_angle_beta 90.00
_cell_angle_gamma 120.00
_symmetry_space_group_name_H-M 'R -3 m'
_symmetry_Int_Tables_number 166
_symmetry_space_group_name_Hall '-R 3 2"'
loop_
_atom_site_label
_atom_site_fract_x
_atom_site_fract_y
_atom_site_fract_z
Tb1 0.0000 0.0000 0.2436
Tb2 0.0075 0.5037 0.7468
Sm1 0.0000 0.0000 0.0000
Sm2 0.0000 0.5000 0.0000
Zr1 0.0000 0.0000 0.5000


[7]
# PBE MgAlPb2, relaxed
# - relative energy among the computed polymorphs (meV/atom) = 50
# - D(E_F) (states/eV per cell) = 2.01
# - formation energy (eV/atom) = 0.131
data_MgAlPb2
_chemical_formula_sum 'Mg2 Al2 Pb4'
_cell_length_a 10.020
_cell_length_b 3.356
_cell_length_c 6.333
_cell_angle_alpha 90.00
_cell_angle_beta 99.66
_cell_angle_gamma 90.00
_symmetry_space_group_name_H-M 'C 1 2/m 1'
_symmetry_Int_Tables_number 12
_symmetry_space_group_name_Hall '-C 2y'
loop_
_atom_site_label
_atom_site_fract_x
_atom_site_fract_y
_atom_site_fract_z
Mg1 0.000 0.000 0.000
Al1 0.000 0.500 0.500
Pb1 0.249 0.500 0.253


[8]
# PBE Ce3Sb4Ir3, relaxed
# - formation energy without anion corrections (eV/atom) = -0.821
# - D(E_F) (states/eV per cell) = 72.24
data_Ce3Sb4Ir3
_chemical_formula_sum 'Ce12 Sb16 Ir12'
_cell_length_a 9.784
_cell_length_b 9.784
_cell_length_c 9.784
_cell_angle_alpha 90.00
_cell_angle_beta 90.00
_cell_angle_gamma 90.00
_symmetry_space_group_name_H-M 'I -4 3 d'
_symmetry_Int_Tables_number 220
_symmetry_space_group_name_Hall 'I -4bd 2c 3'
loop_
_atom_site_label
_atom_site_fract_x
_atom_site_fract_y
_atom_site_fract_z
Ce1 0.000 0.250 0.875
Sb1 0.084 0.416 0.584
Ir1 0.000 0.250 0.375


[9]
# PBE Se3BrCl, relaxed
# - formation energy without anion corrections (eV/atom) = 0.122
# - relative energy among the computed polymorphs (meV/atom) = 0
# - D(E_F) (states/eV per cell) = 25.41
data_Se3BrCl
_chemical_formula_sum 'Se18 Br6 Cl6'
_cell_length_a 6.5363
_cell_length_b 6.5363
_cell_length_c 31.2647
_cell_angle_alpha 90.00
_cell_angle_beta 90.00
_cell_angle_gamma 120.00
_symmetry_space_group_name_H-M 'R 3 c'
_symmetry_Int_Tables_number 161
_symmetry_space_group_name_Hall 'R 3 -2"c'
loop_
_atom_site_label
_atom_site_fract_x
_atom_site_fract_y
_atom_site_fract_z
Se1 0.0001 0.2149 0.0000
Br1 0.0000 0.0000 0.1258
Cl1 0.0000 0.0000 0.3651


[10]
# PBE Pm3Sn2Se, relaxed
# - formation energy without anion corrections (eV/atom) = -0.910
# - D(E_F) (states/eV per cell) = 11.57
data_Pm3Sn2Se
_chemical_formula_sum 'Pm12 Sn8 Se4'
_cell_length_a 11.445
_cell_length_b 9.052
_cell_length_c 7.163
_cell_angle_alpha 90.00
_cell_angle_beta 90.00
_cell_angle_gamma 90.00
_symmetry_space_group_name_H-M 'C m c m'
_symmetry_Int_Tables_number 63
_symmetry_space_group_name_Hall '-C 2c 2'
loop_
_atom_site_label
_atom_site_fract_x
_atom_site_fract_y
_atom_site_fract_z
Pm1 0.000 0.116 0.250
Pm2 0.190 0.500 0.000
Sn1 0.135 0.197 0.750
Se1 0.000 0.426 0.250


[11]
# PBE KNaInAu, relaxed
# - relative energy among the computed polymorphs (meV/atom) = 125
# - D(E_F) (states/eV per cell) = 11.26
# - formation energy (eV/atom) = -0.106
data_KNaInAu
_chemical_formula_sum 'K4 Na4 In4 Au4'
_cell_length_a 7.558
_cell_length_b 7.558
_cell_length_c 7.558
_cell_angle_alpha 90.00
_cell_angle_beta 90.00
_cell_angle_gamma 90.00
_symmetry_space_group_name_H-M 'F -4 3 m'
_symmetry_Int_Tables_number 216
_symmetry_space_group_name_Hall 'F -4 2 3'
loop_
_atom_site_label
_atom_site_fract_x
_atom_site_fract_y
_atom_site_fract_z
K1 0.000 0.000 0.000
Na1 0.250 0.250 0.750
In1 0.000 0.000 0.500
Au1 0.250 0.250 0.250


[12]
# PBE BaLa2Hg2Pb2, relaxed
# - D(E_F) (states/eV per cell) = 22.01
# - formation energy (eV/atom) = -0.387
data_BaLa2Hg2Pb2
_chemical_formula_sum 'Ba3 La6 Hg6 Pb6'
_cell_length_a 5.2983
_cell_length_b 5.2983
_cell_length_c 29.5753
_cell_angle_alpha 90.00
_cell_angle_beta 90.00
_cell_angle_gamma 120.00
_symmetry_space_group_name_H-M 'R -3 m'
_symmetry_Int_Tables_number 166
_symmetry_space_group_name_Hall '-R 3 2"'
loop_
_atom_site_label
_atom_site_fract_x
_atom_site_fract_y
_atom_site_fract_z
Ba1 0.0000 0.0000 0.0000
La1 0.0000 0.0000 0.1343
Hg1 0.0000 0.0000 0.4380
Pb1 0.0000 0.0000 0.2590